No. 1
The following is a PBE calculation of a relaxed Cs3InAs crystal, from Alexandria.

Values from the calculation:
Offset from the most stable computed form   0 meV per atom
D(E_F)   6.11 states/eV per cell
Theoretical density   3.6 g/cm³
Final energy   -2.1963 eV per atom
Volume   53.80 Å³/atom

a = 8.7059 Å, b = 8.7059 Å, c = 9.1522 Å
α = 112.47°, β = 115.10°, γ = 98.76°
Closest atoms and distances in Å follow each position.
Atoms (fractional coordinates):
In: 0.6703 0.0530 0.7233  2 As 2.78-2.82
Cs: 0.8727 0.0356 0.2754  2 As 3.68-3.98, 1 Cs 4.10
Cs: 0.1273 0.9644 0.7246  2 As 3.68-3.98, 1 Cs 4.10
Cs: 0.7023 0.4327 0.1350  2 As 3.63-3.71, 1 In 3.81, 1 Cs 4.00
As: 0.5894 0.7907 0.3801  2 In 2.78-2.82
Cs: 0.2977 0.5673 0.8650  2 As 3.63-3.71, 1 In 3.81, 1 Cs 4.00
Cs: 0.7602 0.5973 0.7246  2 As 3.68-3.98, 1 Cs 4.10
As: 0.4106 0.2093 0.6199  2 In 2.78-2.82
In: 0.3297 0.9470 0.2767  2 As 2.78-2.82
Cs: 0.2398 0.4027 0.2754  2 As 3.68-3.98, 1 Cs 4.10

=====

No. 2
The following is a PBE calculation of a relaxed Tm4Pt5Rh crystal, from Alexandria.

Values from the calculation:
D(E_F)   5.18 states/eV per cell
Theoretical density   14.7 g/cm³
Final energy   -6.7314 eV per atom
Volume   19.85 Å³/atom

a = 4.4191 Å, b = 5.5722 Å, c = 8.4831 Å
α = 99.90°, β = 105.10°, γ = 90.00°
Closest atoms and distances in Å follow each position.
Atoms (fractional coordinates):
Pt: 0.7321 0.8354 0.4642  2 Pt 2.87, 7 Tm 2.88-3.05
Rh: 0.5000 0.0000 0.0000  6 Pt 2.74-2.79, 2 Tm 3.01
Tm: 0.3308 0.6820 0.6615  7 Pt 2.83-3.12, 1 Rh 3.01
Pt: 0.9405 0.7353 0.8811  2 Rh 2.74, 5 Tm 2.76-2.92, 2 Pt 2.83
Tm: 0.8887 0.2102 0.7774  6 Pt 2.76-3.01
Pt: 0.5000 0.5000 0.0000  2 Rh 2.79, 4 Pt 2.83, 2 Tm 3.12
Pt: 0.2679 0.1646 0.5358  2 Pt 2.87, 7 Tm 2.88-3.05
Pt: 0.0595 0.2647 0.1189  2 Rh 2.74, 5 Tm 2.76-2.92, 2 Pt 2.83
Tm: 0.6692 0.3180 0.3385  7 Pt 2.83-3.12, 1 Rh 3.01
Tm: 0.1113 0.7898 0.2226  6 Pt 2.76-3.01

=====

No. 3
The following is a PBE calculation of a relaxed Er4TmTl2 crystal, from Alexandria.

Values from the calculation:
Offset from the most stable computed form   0 meV per atom
D(E_F)   6.99 states/eV per cell
Theoretical density   9.2 g/cm³
Final energy   -3.8245 eV per atom
Volume   32.06 Å³/atom

a = 5.2250 Å, b = 5.2250 Å, c = 9.9594 Å
α = 74.79°, β = 74.79°, γ = 60.00°
Closest atoms and distances in Å follow each position.
Atoms (fractional coordinates):
Er: 0.2862 0.2862 0.1414  4 Tl 3.05-3.12
Er: 0.8795 0.8795 0.3616  3 Tm 3.29, 3 Tl 3.44, 3 Er 3.67
Tm: 0.5000 0.5000 0.5000  2 Tl 2.97, 6 Er 3.29
Er: 0.1205 0.1205 0.6384  3 Tm 3.29, 3 Tl 3.44, 3 Er 3.67
Tl: 0.6044 0.6044 0.1869  1 Tm 2.97, 4 Er 3.05-3.12
Er: 0.7138 0.7138 0.8586  4 Tl 3.05-3.12
Tl: 0.3956 0.3956 0.8131  1 Tm 2.97, 4 Er 3.05-3.12

=====

No. 4
The following is a PBE calculation of a relaxed Nd3Dy5Tm4 crystal, from Alexandria.

Values from the calculation:
Offset from the most stable computed form   0 meV per atom
D(E_F)   15.47 states/eV per cell
Theoretical density   8.4 g/cm³
Final energy   -4.5799 eV per atom
Volume   31.81 Å³/atom

a = 7.1127 Å, b = 11.2450 Å, c = 12.8199 Å
α = 151.27°, β = 56.37°, γ = 129.25°
Closest atoms and distances in Å follow each position.
Atoms (fractional coordinates):
Tm: 0.0824 0.1654 0.3314  3 Tm 3.53-3.57, 4 Nd 3.54-3.58, 5 Dy 3.54-3.58
Nd: 0.4142 0.8316 0.6660  6 Tm 3.54-3.58, 5 Dy 3.55-3.57, 1 Nd 3.57
Dy: 0.7484 0.5017 0.0015  6 Dy 3.53-3.58, 3 Tm 3.54-3.55, 3 Nd 3.55-3.58
Tm: 0.8338 0.6674 0.8339  4 Tm 3.53-3.57, 3 Nd 3.55-3.56, 5 Dy 3.55-3.56
Dy: 0.6662 0.3314 0.1650  3 Dy 3.54-3.56, 5 Tm 3.55-3.58, 4 Nd 3.55-3.57
Nd: 0.5858 0.1684 0.3340  6 Tm 3.54-3.58, 5 Dy 3.55-3.57, 1 Nd 3.57
Dy: 0.5000 0.0000 0.5000  4 Dy 3.55, 4 Nd 3.56, 4 Tm 3.56
Tm: 0.9176 0.8346 0.6686  3 Tm 3.53-3.57, 4 Nd 3.54-3.58, 5 Dy 3.54-3.58
Nd: 0.0000 0.0000 0.5000  8 Dy 3.55-3.58, 2 Tm 3.57, 2 Nd 3.57
Dy: 0.3338 0.6686 0.8350  3 Dy 3.54-3.56, 5 Tm 3.55-3.58, 4 Nd 3.55-3.57
Dy: 0.2516 0.4983 0.9985  6 Dy 3.53-3.58, 3 Tm 3.54-3.55, 3 Nd 3.55-3.58
Tm: 0.1662 0.3326 0.1661  4 Tm 3.53-3.57, 3 Nd 3.55-3.56, 5 Dy 3.55-3.56

=====

No. 5
The following is a PBE calculation of a relaxed PmNbReSi2 crystal, from Alexandria.

Values from the calculation:
D(E_F)   2.42 states/eV per cell
Theoretical density   8.6 g/cm³
Final energy   -8.1918 eV per atom
Volume   18.46 Å³/atom

a = 4.0576 Å, b = 4.0576 Å, c = 6.2971 Å
α = 108.79°, β = 108.79°, γ = 90.00°
Closest atoms and distances in Å follow each position.
Atoms (fractional coordinates):
Si: 0.3904 0.3904 0.7808  1 Si 2.46, 2 Re 2.57, 2 Nb 2.57
Pm: 0.0000 0.0000 0.0000  8 Si 3.12, 4 Re 3.46, 4 Nb 3.46
Re: 0.7500 0.2500 0.5000  4 Si 2.57, 4 Nb 2.87
Si: 0.6096 0.6096 0.2192  1 Si 2.46, 2 Nb 2.57, 2 Re 2.57
Nb: 0.2500 0.7500 0.5000  4 Si 2.57, 4 Re 2.87

=====

No. 6
The following is a PBE calculation of a relaxed GdPdAu4 crystal, from Alexandria.

Values from the calculation:
D(E_F)   4.82 states/eV per cell
Theoretical density   14.8 g/cm³
Final energy   -5.8540 eV per atom
Volume   19.70 Å³/atom

a = 5.5090 Å, b = 5.5090 Å, c = 5.5090 Å
α = 60.00°, β = 60.00°, γ = 60.00°
Closest atoms and distances in Å follow each position.
Atoms (fractional coordinates):
Au: 0.6254 0.1237 0.6254  6 Au 2.75-2.76
Gd: 0.2500 0.2500 0.2500  12 Au 3.23, 4 Pd 3.37
Pd: 0.0000 0.0000 0.0000  12 Au 3.23, 4 Gd 3.37
Au: 0.1237 0.6254 0.6254  6 Au 2.75-2.76
Au: 0.6254 0.6254 0.1237  6 Au 2.75-2.76
Au: 0.6254 0.6254 0.6254  6 Au 2.75-2.76

=====

No. 7
The following is a PBE calculation of a relaxed Sc2AgCl crystal, from Alexandria.

Values from the calculation:
Offset from the most stable computed form   445 meV per atom
D(E_F)   9.51 states/eV per cell
Theoretical density   3.6 g/cm³
Final energy   -4.5609 eV per atom
Volume   26.82 Å³/atom

a = 6.0265 Å, b = 6.0265 Å, c = 7.2841 Å
α = 65.56°, β = 65.56°, γ = 90.00°
Closest atoms and distances in Å follow each position.
Atoms (fractional coordinates):
Sc: 0.6043 0.1250 0.2500  2 Cl 2.52, 2 Ag 2.67
Sc: 0.3750 0.3957 0.7500  2 Cl 2.52, 2 Ag 2.67
Sc: 0.8750 0.8543 0.7500  2 Cl 2.52, 2 Ag 2.67
Cl: 0.2500 0.7500 0.5000  4 Sc 2.52
Ag: 0.0000 0.0000 0.0000  4 Sc 2.67
Ag: 0.7500 0.2500 0.5000  4 Sc 2.67
Cl: 0.5000 0.5000 0.0000  4 Sc 2.52
Sc: 0.1457 0.6250 0.2500  2 Cl 2.52, 2 Ag 2.67

=====

No. 8
The following is a PBE calculation of a relaxed TbTh5Bi4 crystal, from Alexandria.

Values from the calculation:
D(E_F)   9.72 states/eV per cell
Theoretical density   10.1 g/cm³
Final energy   -5.9491 eV per atom
Volume   35.34 Å³/atom

a = 4.2647 Å, b = 8.9443 Å, c = 9.7038 Å
α = 101.55°, β = 102.69°, γ = 90.00°
Closest atoms and distances in Å follow each position.
Atoms (fractional coordinates):
Tb: 0.5000 0.0000 0.0000  6 Bi 3.05-3.09
Bi: 0.6666 0.0636 0.3333  1 Tb 3.09, 5 Th 3.21-3.34
Bi: 0.3334 0.9364 0.6667  1 Tb 3.09, 5 Th 3.21-3.34
Th: 0.5000 0.5000 0.0000  4 Bi 3.15
Th: 0.1880 0.3571 0.3760  3 Bi 3.30-3.34
Bi: 0.0109 0.2469 0.0218  2 Tb 3.05, 4 Th 3.15-3.30
Th: 0.1650 0.7809 0.3300  4 Bi 3.21-3.30
Bi: 0.9891 0.7531 0.9782  2 Tb 3.05, 4 Th 3.15-3.30
Th: 0.8350 0.2191 0.6700  4 Bi 3.21-3.30
Th: 0.8120 0.6429 0.6240  3 Bi 3.30-3.34

=====

No. 9
The following is a PBE calculation of a relaxed BeBiAsSe2 crystal, from Alexandria.

Values from the calculation:
Offset from the most stable computed form   1032 meV per atom
D(E_F)   5.52 states/eV per cell
Theoretical density   4.5 g/cm³
Final energy   -2.6294 eV per atom
Volume   33.30 Å³/atom

a = 5.4854 Å, b = 5.4854 Å, c = 5.5337 Å
α = 90.00°, β = 90.00°, γ = 90.00°
Closest atoms and distances in Å follow each position.
Atoms (fractional coordinates):
Bi: 0.0000 0.0000 0.0000  4 Se 2.74, 2 As 2.77
As: 0.0000 0.0000 0.5000  2 Bi 2.77
Se: 0.0000 0.5000 0.0000  2 Bi 2.74
Se: 0.5000 0.0000 0.0000  2 Bi 2.74
Be: 0.5000 0.5000 0.5000  4 As 3.88, 8 Se 3.90

=====

No. 10
The following is a PBE calculation of a relaxed BaAcTe3 crystal, from Alexandria.

Values from the calculation:
D(E_F)   3.07 states/eV per cell
Theoretical density   6.3 g/cm³
Final energy   -4.5120 eV per atom
Volume   39.36 Å³/atom

a = 5.0391 Å, b = 6.9873 Å, c = 11.1797 Å
α = 90.00°, β = 90.00°, γ = 90.00°
Closest atoms and distances in Å follow each position.
Atoms (fractional coordinates):
Te: 0.5000 0.7270 0.6982  1 Te 3.17, 2 Ba 3.39
Te: 0.5000 0.2730 0.6982  1 Te 3.17, 2 Ba 3.39
Ac: 0.5000 0.0000 0.1281  8 Te 3.32-3.56
Ba: 0.5000 0.5000 0.4114  6 Te 3.39-3.58
Te: 0.0000 0.2270 0.3018  1 Te 3.17, 2 Ba 3.39
Te: 0.0000 0.0000 0.9340  4 Ac 3.32-3.56
Te: 0.5000 0.5000 0.0660  4 Ac 3.32-3.56
Te: 0.0000 0.7730 0.3018  1 Te 3.17, 2 Ba 3.39
Ac: 0.0000 0.5000 0.8719  8 Te 3.32-3.56
Ba: 0.0000 0.0000 0.5886  6 Te 3.39-3.58

=====

No. 11
The following is a PBE calculation of a relaxed RbAsSe4 crystal, from Alexandria.

Values from the calculation:
Theoretical density   3.9 g/cm³
Final energy   -3.5254 eV per atom
Volume   33.95 Å³/atom

a = 7.0320 Å, b = 7.7559 Å, c = 9.0554 Å
α = 122.75°, β = 100.09°, γ = 88.67°
Closest atoms and distances in Å follow each position.
Atoms (fractional coordinates):
As: 0.5000 0.0000 0.5000  6 Se 2.70-2.82
Se: 0.7027 0.0594 0.8098  1 Se 2.43, 1 As 2.71
Rb: 0.7748 0.8785 0.1132  6 Se 3.44-3.70
Se: 0.0277 0.5238 0.2203  1 Se 2.38
Se: 0.8353 0.8410 0.5417  1 Se 2.43, 2 As 2.70-2.72
Se: 0.1647 0.1590 0.4583  1 Se 2.43, 2 As 2.70-2.72
Rb: 0.2252 0.1215 0.8868  6 Se 3.44-3.70
As: 0.0000 0.5000 0.5000  6 Se 2.68-2.77
Se: 0.3176 0.6408 0.4398  1 Se 2.38
Se: 0.6824 0.3592 0.5602  1 Se 2.38
Se: 0.2973 0.9406 0.1902  1 Se 2.43, 1 As 2.71
Se: 0.9723 0.4762 0.7797  1 Se 2.38

=====

No. 12
The following is a PBE calculation of a relaxed HfTi3Tc4 crystal, from Alexandria.

Values from the calculation:
D(E_F)   15.31 states/eV per cell
Theoretical density   9.5 g/cm³
Final energy   -9.8544 eV per atom
Volume   15.59 Å³/atom

a = 4.4560 Å, b = 6.2799 Å, c = 8.9127 Å
α = 90.00°, β = 90.00°, γ = 90.00°
Closest atoms and distances in Å follow each position.
Atoms (fractional coordinates):
Tc: 0.0001 0.7559 0.7500  6 Ti 2.70-2.75, 2 Hf 2.75
Hf: 0.0000 0.5000 0.0000  8 Tc 2.75
Tc: 0.9999 0.7559 0.2500  6 Ti 2.70-2.75, 2 Hf 2.75
Tc: 0.5000 0.2441 0.0000  6 Ti 2.70-2.75, 2 Hf 2.75
Ti: 0.0000 0.0000 0.5000  8 Tc 2.70
Tc: 0.0001 0.2441 0.7500  6 Ti 2.70-2.75, 2 Hf 2.75
Ti: 0.0000 0.0000 0.0000  8 Tc 2.70
Ti: 0.5001 0.0000 0.7500  8 Tc 2.70
Ti: 0.5001 0.5000 0.7500  8 Tc 2.75
Ti: 0.4999 0.5000 0.2500  8 Tc 2.75
Hf: 0.0000 0.5000 0.5000  8 Tc 2.75
Tc: 0.5000 0.7559 0.0000  6 Ti 2.70-2.75, 2 Hf 2.75
Tc: 0.5000 0.7559 0.5000  6 Ti 2.70-2.75, 2 Hf 2.75
Ti: 0.4999 0.0000 0.2500  8 Tc 2.70
Tc: 0.5000 0.2441 0.5000  6 Ti 2.70-2.75, 2 Hf 2.75
Tc: 0.9999 0.2441 0.2500  6 Ti 2.70-2.75, 2 Hf 2.75

=====

Number 9 is which compound? BeBiAsSe2

=====

Among the records above, which one has the lowest volume? HfTi3Tc4